First-principles (PBE) data for a geometry-optimized CsAs2Ru structure, as listed in Alexandria via LeMat-Bulk.

Properties
**E_tot**: -3.982 eV per atom
**ΔE to the lowest computed polymorph**: 1015 meV/atom
**DFT formation energy**: 0.88 eV/atom

POSCAR file:
```
CsAs2Ru
1.0
0.000 3.511 3.511
3.511 0.000 3.511
3.511 3.511 0.000
Cs As Ru
1 2 1
Cartesian
0.000 0.000 0.000
1.756 1.756 1.756
5.267 5.267 5.267
3.511 3.511 3.511
```